Record 1
DFT (GGA-PBEsol) results for a relaxed structure of AlHg3Se.

a b c (Å): 5.0987 5.0987 5.0987
angles (deg): 90.00 90.00 90.00
Space group Pm-3m (No. 221)
Symmetry-distinct sites (fractional):
Al: 0.0000 0.0000 0.0000
Hg: 0.0000 0.0000 0.5000
Se: 0.5000 0.5000 0.5000

Computed properties:
Total moment ... 0.0 μB per formula unit
Distance to the lowest polymorph of the same formula ... 0 meV/atom

---

Record 2
DFT (GGA-PBEsol) results for a relaxed structure of AlHg2Se.

a b c (Å): 3.7557 5.8239 8.3641
angles (deg): 90.00 90.00 90.00
Space group Cmm2 (No. 35)
Symmetry-distinct sites (fractional):
Al: 0.0000 0.0000 0.0000
Hg: 0.0000 0.0000 0.5163
Hg: 0.0000 0.5000 0.2408
Se: 0.0000 0.5000 0.8179

Computed properties:
Total moment ... 0.0 μB per formula unit

---

Record 3
DFT (GGA-PBEsol) results for a relaxed structure of AlHgSe4.

a b c (Å): 8.1179 8.1179 8.1179
angles (deg): 90.00 90.00 90.00
Space group F-43m (No. 216)
Symmetry-distinct sites (fractional):
Al: 0.0000 0.0000 0.0000
Hg: 0.2500 0.2500 0.7500
Se: 0.1243 0.1243 0.3757

Computed properties:
Total moment ... 0.0 μB per formula unit

---

Record 4
DFT (GGA-PBEsol) results for a relaxed structure of AlSiHg2.

a b c (Å): 4.1042 4.1042 9.2614
angles (deg): 90.00 90.00 90.00
Space group I-4m2 (No. 119)
Symmetry-distinct sites (fractional):
Al: 0.0000 0.0000 0.0000
Si: 0.0000 0.5000 0.7500
Hg: 0.0000 0.0000 0.5000
Hg: 0.0000 0.5000 0.2500

Computed properties:
Total moment ... 0.0 μB per formula unit

---

Record 5
DFT (GGA-PBEsol) results for a relaxed structure of AlSiHg2.

a b c (Å): 4.2142 4.2142 8.7629
angles (deg): 90.00 90.00 90.00
Space group I4/mmm (No. 139)
Symmetry-distinct sites (fractional):
Al: 0.0000 0.0000 0.0000
Si: 0.0000 0.0000 0.5000
Hg: 0.0000 0.5000 0.2500

Computed properties:
Total moment ... 0.0 μB per formula unit

---

Record 6
DFT (GGA-PBEsol) results for a relaxed structure of AlSi2Hg.

a b c (Å): 2.8584 2.8584 30.2151
angles (deg): 90.00 90.00 120.00
Space group R-3m (No. 166, hexagonal axes)
Symmetry-distinct sites (fractional):
Al: 0.0000 0.0000 0.0000
Si: 0.0000 0.0000 0.2625
Hg: 0.0000 0.0000 0.5000

Computed properties:
Total moment ... 0.0 μB per formula unit
Distance to the lowest polymorph of the same formula ... 6 meV/atom

---

no.,formation energy (no corrections) (eV per atom)
1,0.3167
2,-0.0699
3,0.3871
4,0.3181
5,0.3152
6,0.3297